(1)
DFT (GGA-PBE) results for an optimized crystal structure of AcCo3Si3.

Results
final energy	-6.19	eV per atom
formation energy from raw total energies	-0.230	eV per atom
space group	R-3, No. 148

Lattice parameters (Å, degrees): 6.1686 6.1686 8.2253 67.98 67.98 60.00
Last column: nearest neighbours and their distance in Å.
Element x y z (fractional)
1 Ac 0.3277 0.3277 0.0168  3 Co 3.20, 6 Si 3.20-3.28, 3 Ac 3.57
2 Ac 0.6723 0.6723 0.9832  3 Co 3.20, 6 Si 3.20-3.28, 3 Ac 3.57
3 Co 0.5510 0.7673 0.6110  4 Si 2.22-2.30
4 Co 0.7673 0.0707 0.6110  4 Si 2.22-2.30
5 Co 0.0707 0.5510 0.6110  4 Si 2.22-2.30
6 Co 0.9293 0.4490 0.3890  4 Si 2.22-2.30
7 Co 0.2327 0.9293 0.3890  4 Si 2.22-2.30
8 Co 0.4490 0.2327 0.3890  4 Si 2.22-2.30
9 Si 0.1808 0.6600 0.3035  4 Co 2.22-2.30
10 Si 0.8557 0.1808 0.3035  4 Co 2.22-2.30
11 Si 0.6600 0.8557 0.3035  4 Co 2.22-2.30
12 Si 0.3400 0.1443 0.6965  4 Co 2.22-2.30
13 Si 0.1443 0.8192 0.6965  4 Co 2.22-2.30
14 Si 0.8192 0.3400 0.6965  4 Co 2.22-2.30



(2)
DFT (GGA-PBE) results for an optimized crystal structure of HfAl3Rh4.

Results
final energy	-7.36	eV per atom
calculated formation energy	-8.3	eV/f.u.
space group	R-3m, No. 166

Lattice parameters (Å, degrees): 4.3484 4.3484 7.5668 73.30 73.30 60.00
Last column: nearest neighbours and their distance in Å.
Element x y z (fractional)
1 Rh 0.8729 0.8729 0.3812  7 Al 2.59-2.66, 1 Hf 2.72
2 Rh 0.3795 0.3795 0.8614  5 Al 2.58-2.82, 3 Hf 2.70
3 Rh 0.1271 0.1271 0.6188  7 Al 2.59-2.66, 1 Hf 2.72
4 Rh 0.6205 0.6205 0.1386  5 Al 2.58-2.82, 3 Hf 2.70
5 Hf 0.0000 0.0000 0.0000  8 Rh 2.70-2.72
6 Al 0.2478 0.2478 0.2565  8 Rh 2.59-2.82
7 Al 0.7522 0.7522 0.7435  8 Rh 2.59-2.82
8 Al 0.5000 0.5000 0.5000  8 Rh 2.58-2.65